No. 1
Material: Ac5Sn2Ir2
Method: DFT, PBE
State: optimized geometry

Lattice parameters (Å, degrees): 8.710 7.489 12.055 108.10 111.18 90.00
Positions (direct):
Ac1 0.237 0.710 0.956
Ac2 0.763 0.754 0.044
Ac3 0.219 0.210 0.956
Ac4 0.781 0.254 0.044
Ac5 0.226 0.115 0.280
Ac6 0.774 0.835 0.720
Ac7 0.554 0.615 0.280
Ac8 0.446 0.335 0.720
Ac9 0.148 0.678 0.500
Ac10 0.852 0.178 0.500
Sn1 0.139 0.592 0.201
Sn2 0.861 0.391 0.799
Sn3 0.561 0.092 0.201
Sn4 0.439 0.891 0.799
Ir1 0.000 0.972 0.000
Ir2 0.500 0.472 0.000
Ir3 0.167 0.290 0.500
Ir4 0.833 0.790 0.500

## Properties
- volume (Å³/atom) = 38.4
- D(E_F) (states/eV/f.u.) = 5.13
- symmetry = Ima2, No. 46
- formation enthalpy at 0 K (eV per atom) = -0.4772
- VASP energy (eV per atom) = -5.62

No. 2
Material: AcSn2Ir2
Method: DFT, PBE
State: optimized geometry

Lattice parameters (Å, degrees): 4.571 4.571 11.019 90.00 90.00 90.00
Positions (direct):
Ac1 0.500 0.000 0.251
Ac2 0.000 0.500 0.749
Sn1 0.000 0.500 0.372
Sn2 0.500 0.000 0.628
Sn3 0.500 0.500 0.000
Sn4 0.000 0.000 0.000
Ir1 0.500 0.500 0.500
Ir2 0.000 0.000 0.500
Ir3 0.000 0.500 0.132
Ir4 0.500 0.000 0.868

## Properties
- volume (Å³/atom) = 23.0
- D(E_F) (states/eV/f.u.) = 3.37
- symmetry = P4/nmm, No. 129
- formation enthalpy at 0 K (eV per atom) = -0.5901
- VASP energy (eV per atom) = -6.56

No. 3
Material: Ac2SnIr
Method: DFT, PBE
State: optimized geometry

Lattice parameters (Å, degrees): 4.187 6.680 9.726 111.79 90.00 90.00
Positions (direct):
Ac1 0.750 0.218 0.455
Ac2 0.250 0.782 0.545
Ac3 0.250 0.787 0.107
Ac4 0.750 0.213 0.893
Sn1 0.250 0.359 0.209
Sn2 0.750 0.641 0.791
Ir1 0.750 0.691 0.299
Ir2 0.250 0.309 0.701

## Properties
- volume (Å³/atom) = 31.6
- D(E_F) (states/eV/f.u.) = 2.94
- symmetry = P2_1/m, No. 11
- formation enthalpy at 0 K (eV per atom) = -0.6532
- VASP energy (eV per atom) = -5.92

The highest VASP energy belongs to which entry?
Ac5Sn2Ir2